Record 1
TbTmIr | GGA-PBE | optimized geometry

a b c (Å): 4.784 4.784 4.784
angles (deg): 60.00 60.00 60.00
Atoms (fractional coordinates):
Tb (0.000, 0.000, 0.000)
Tm (0.500, 0.500, 0.500)
Ir (0.250, 0.250, 0.250)

Calculated values
Uncorrected energy (eV per atom): -6.706
E above lowest polymorph (meV/atom): 6
SG: F-43m, No. 216

Record 2
Tb5TmIr4 | GGA-PBE | optimized geometry

a b c (Å): 9.302 9.302 7.353
angles (deg): 113.14 113.14 26.38
Atoms (fractional coordinates):
Tb (0.000, 0.000, 0.000)
Tb (0.335, 0.335, 0.091)
Tb (0.335, 0.335, 0.578)
Tb (0.665, 0.665, 0.422)
Tb (0.665, 0.665, 0.909)
Tm (0.000, 0.000, 0.500)
Ir (0.199, 0.199, 0.699)
Ir (0.500, 0.500, 0.250)
Ir (0.500, 0.500, 0.750)
Ir (0.801, 0.801, 0.301)

Calculated values
Uncorrected energy (eV per atom): -6.960
SG: C2/m, No. 12

Record 3
TbTmIr | GGA-PBE | optimized geometry

a b c (Å): 8.675 8.675 8.675
angles (deg): 117.32 84.54 129.51
Atoms (fractional coordinates):
Tb (0.000, 0.250, 0.250)
Tb (0.000, 0.750, 0.750)
Tb (0.178, 0.133, 0.545)
Tb (0.178, 0.634, 0.044)
Tb (0.589, 0.134, 0.956)
Tb (0.589, 0.633, 0.455)
Tm (0.330, 0.330, 0.000)
Tm (0.330, 0.830, 0.500)
Tm (0.590, 0.219, 0.371)
Tm (0.590, 0.718, 0.870)
Tm (0.848, 0.218, 0.629)
Tm (0.848, 0.719, 0.130)
Ir (0.256, 0.090, 0.167)
Ir (0.256, 0.589, 0.666)
Ir (0.589, 0.839, 0.250)
Ir (0.590, 0.339, 0.750)
Ir (0.923, 0.089, 0.833)
Ir (0.923, 0.590, 0.334)

Calculated values
Uncorrected energy (eV per atom): -6.704
E above lowest polymorph (meV/atom): 8
SG: Ima2, No. 46

Record 4
TbTmIr | GGA-PBE | optimized geometry

a b c (Å): 4.089 4.089 6.091
angles (deg): 90.00 90.00 120.00
Atoms (fractional coordinates):
Tb (0.000, 0.000, 0.000)
Tm (0.333, 0.667, 0.539)
Ir (0.667, 0.333, 0.763)

Calculated values
Uncorrected energy (eV per atom): -6.548
E above lowest polymorph (meV/atom): 164
SG: P3m1, No. 156

Record 5
Tb4TmIr5 | GGA-PBE | optimized geometry

a b c (Å): 3.358 3.358 17.874
angles (deg): 90.00 90.00 90.00
Atoms (fractional coordinates):
Tb (0.000, 0.000, 0.101)
Tb (0.000, 0.000, 0.302)
Tb (0.000, 0.000, 0.698)
Tb (0.000, 0.000, 0.899)
Tm (0.000, 0.000, 0.500)
Ir (0.500, 0.500, 0.000)
Ir (0.500, 0.500, 0.202)
Ir (0.500, 0.500, 0.404)
Ir (0.500, 0.500, 0.596)
Ir (0.500, 0.500, 0.798)

Calculated values
Uncorrected energy (eV per atom): -7.525
SG: P4/mmm, No. 123

Record 6
Tb2TmIr9 | GGA-PBE | optimized geometry

a b c (Å): 9.323 9.323 9.323
angles (deg): 33.02 33.02 33.02
Atoms (fractional coordinates):
Tb (0.139, 0.139, 0.139)
Tb (0.861, 0.861, 0.861)
Tm (0.000, 0.000, 0.000)
Ir (0.083, 0.581, 0.581)
Ir (0.333, 0.333, 0.333)
Ir (0.419, 0.419, 0.917)
Ir (0.419, 0.917, 0.419)
Ir (0.500, 0.500, 0.500)
Ir (0.581, 0.083, 0.581)
Ir (0.581, 0.581, 0.083)
Ir (0.667, 0.667, 0.667)
Ir (0.917, 0.419, 0.419)

Calculated values
Uncorrected energy (eV per atom): -8.364
SG: R-3m, No. 166

Record 7
TbTmZnIr | GGA-PBE | optimized geometry

a b c (Å): 4.904 4.904 4.904
angles (deg): 60.00 60.00 60.00
Atoms (fractional coordinates):
Tb (0.000, 0.000, 0.000)
Tm (0.500, 0.500, 0.500)
Zn (0.250, 0.250, 0.250)
Ir (0.750, 0.750, 0.750)

Calculated values
Uncorrected energy (eV per atom): -5.458
SG: F-43m, No. 216

Record 8
TbUIr2 | GGA-PBE | optimized geometry

a b c (Å): 4.859 4.859 4.859
angles (deg): 60.00 60.00 60.00
Atoms (fractional coordinates):
Tb (0.000, 0.000, 0.000)
U (0.500, 0.500, 0.500)
Ir (0.250, 0.250, 0.250)
Ir (0.750, 0.750, 0.750)

Calculated values
Uncorrected energy (eV per atom): -8.960
SG: Fm-3m, No. 225

Record 9
TbUIr2 | GGA-PBE | optimized geometry

a b c (Å): 3.403 3.403 7.050
angles (deg): 90.00 90.00 90.00
Atoms (fractional coordinates):
Tb (0.000, 0.000, 0.000)
U (0.000, 0.000, 0.500)
Ir (0.500, 0.500, 0.271)
Ir (0.500, 0.500, 0.729)

Calculated values
Uncorrected energy (eV per atom): -9.014
SG: P4/mmm, No. 123

Record 10
TbUIr4 | GGA-PBE | optimized geometry

a b c (Å): 5.353 5.353 5.353
angles (deg): 60.00 60.00 60.00
Atoms (fractional coordinates):
Tb (0.000, 0.000, 0.000)
U (0.750, 0.750, 0.750)
Ir (0.375, 0.375, 0.375)
Ir (0.375, 0.375, 0.875)
Ir (0.375, 0.875, 0.375)
Ir (0.875, 0.375, 0.375)

Calculated values
Uncorrected energy (eV per atom): -9.206
SG: F-43m, No. 216

Record 11
TbUIr | GGA-PBE | optimized geometry

a b c (Å): 9.801 8.093 7.048
angles (deg): 80.35 54.50 45.15
Atoms (fractional coordinates):
Tb (0.017, 0.017, 0.233)
Tb (0.233, 0.233, 0.017)
Tb (0.767, 0.767, 0.983)
Tb (0.983, 0.983, 0.767)
U (0.205, 0.205, 0.545)
U (0.455, 0.455, 0.795)
U (0.545, 0.545, 0.205)
U (0.795, 0.795, 0.455)
Ir (0.266, 0.484, 0.266)
Ir (0.484, 0.266, 0.484)
Ir (0.516, 0.734, 0.516)
Ir (0.734, 0.516, 0.734)

Calculated values
Uncorrected energy (eV per atom): -8.355
SG: Fddd, No. 70

Record 12
TbVIr | GGA-PBE | optimized geometry

a b c (Å): 4.107 4.107 4.336
angles (deg): 90.00 90.00 120.00
Atoms (fractional coordinates):
Tb (0.000, 0.000, 0.000)
V (0.333, 0.667, 0.508)
Ir (0.667, 0.333, 0.476)

Calculated values
Uncorrected energy (eV per atom): -7.870
E above lowest polymorph (meV/atom): 117
SG: P3m1, No. 156

Record 13
TbVIr | GGA-PBE | optimized geometry

a b c (Å): 5.807 5.629 7.835
angles (deg): 90.00 112.40 90.00
Atoms (fractional coordinates):
Tb (0.188, 0.116, 0.377)
Tb (0.188, 0.384, 0.877)
Tb (0.812, 0.616, 0.123)
Tb (0.812, 0.884, 0.623)
V (0.415, 0.610, 0.301)
V (0.415, 0.890, 0.801)
V (0.585, 0.110, 0.199)
V (0.585, 0.390, 0.699)
Ir (0.220, 0.621, 0.529)
Ir (0.220, 0.879, 0.029)
Ir (0.780, 0.121, 0.971)
Ir (0.780, 0.379, 0.471)

Calculated values
Uncorrected energy (eV per atom): -7.987
E above lowest polymorph (meV/atom): 0
SG: P2_1/c, No. 14

Result set for E_form: -2.2; -6.5; -2.1; -1.7; -8.0; -6.9; -2.6; -2.2; -2.4; -3.9; -0.3; -1.0; -1.4 eV/f.u., one per record in the order listed.